First-principles (GGA-PBE) data for Cs2BeHgPd after structural relaxation, as listed in the Alexandria database.

Cell and atoms, written as extended XYZ:
```
5
Lattice="6.8917 0.0000 0.0000 0.0000 6.8917 0.0000 0.0000 0.0000 4.6330" Properties=species:S:1:pos:R:3 pbc="T T T"
Cs 0.0000 3.4459 0.0000
Cs 3.4459 0.0000 0.0000
Be 0.0000 0.0000 2.3165
Hg 0.0000 0.0000 0.0000
Pd 3.4459 3.4459 2.3165
```

Calculated values
Formation enthalpy at 0 K in meV per atom: 562